Entry 1:
BaP2Pt: relaxed, PBE.

Output
ΔE_f, kJ/mol of formula units: -330.7
D(E_F), states/eV/f.u.: 0.46

a = 5.9710 Å, b = 5.9710 Å, c = 4.6429 Å
α = 73.85°, β = 73.85°, γ = 38.38°
Last column: nearest neighbours and their distance in Å.
Sites, in units of the cell vectors:
P1 0.8882 0.8882 0.4753  1 P 2.24, 2 Pt 2.40
Ba1 0.1949 0.1949 0.3277  5 P 3.16-3.32, 1 Pt 3.29
Pt1 0.4358 0.4358 0.7193  4 P 2.40-2.43
P2 0.9811 0.9811 0.9776  1 P 2.24, 2 Pt 2.43

=====

Entry 2:
BaPPt: relaxed, PBE.

Output
ΔE_f, kJ/mol of formula units: -48.4
D(E_F), states/eV/f.u.: 4.81

a = 4.8424 Å, b = 4.8424 Å, c = 4.8424 Å
α = 60.00°, β = 60.00°, γ = 60.00°
Last column: nearest neighbours and their distance in Å.
Sites, in units of the cell vectors:
Ba1 0.5000 0.5000 0.5000  4 P 2.97
Pt1 0.0000 0.0000 0.0000  4 P 2.97
P1 0.7500 0.7500 0.7500  4 Ba 2.97, 4 Pt 2.97

=====

Entry 3:
BaPPt3: relaxed, PBE.

Output
ΔE_f, kJ/mol of formula units: 987.7
Excess energy over the best structure of this formula in the dataset, eV/atom: 2.749
D(E_F), states/eV/f.u.: 6.45

a = 5.3307 Å, b = 5.3307 Å, c = 5.3307 Å
α = 90.00°, β = 90.00°, γ = 90.00°
Last column: nearest neighbours and their distance in Å.
Sites, in units of the cell vectors:
Pt1 0.0000 0.0000 0.5000  2 Ba 2.67
Pt2 0.5000 0.0000 0.0000  2 Ba 2.67
P1 0.5000 0.5000 0.5000  12 Pt 3.77
Ba1 0.0000 0.0000 0.0000  6 Pt 2.67
Pt3 0.0000 0.5000 0.0000  2 Ba 2.67

=====

Entry 4:
BaPPt2: relaxed, PBE.

Output
ΔE_f, kJ/mol of formula units: -156.2
D(E_F), states/eV/f.u.: 3.12

a = 5.4847 Å, b = 5.4847 Å, c = 5.4847 Å
α = 139.21°, β = 114.63°, γ = 79.99°
Last column: nearest neighbours and their distance in Å.
Sites, in units of the cell vectors:
P1 0.8186 0.3186 0.5000  2 Pt 2.30
Ba1 0.5228 0.5228 0.0000  4 P 3.14-3.42, 4 Pt 3.27-3.40
Pt1 0.1878 0.6878 0.5000  2 Pt 2.64
Pt2 0.9708 0.9708 0.0000  2 P 2.30

=====

Entry 5:
BaP2Pt: relaxed, PBE.

Output
ΔE_f, kJ/mol of formula units: -262.7
D(E_F), states/eV/f.u.: 0.06

a = 7.3684 Å, b = 7.3684 Å, c = 6.3700 Å
α = 54.66°, β = 54.66°, γ = 90.00°
Last column: nearest neighbours and their distance in Å.
Sites, in units of the cell vectors:
Pt1 0.7500 0.2500 0.5000  4 P 2.31
P1 0.3750 0.2690 0.7500  2 Pt 2.31
P2 0.7310 0.1250 0.2500  2 Pt 2.31
Pt2 0.0000 0.0000 0.0000  4 P 2.31
Ba1 0.5000 0.5000 0.0000  8 P 3.33-3.47, 2 Pt 3.66
P3 0.8750 0.9810 0.7500  2 Pt 2.31
P4 0.0190 0.6250 0.2500  2 Pt 2.31
Ba2 0.2500 0.7500 0.5000  8 P 3.33-3.47, 2 Pt 3.66

=====

Entry 6:
BaPPt2: relaxed, PBE.

Output
ΔE_f, kJ/mol of formula units: -301.4
D(E_F), states/eV/f.u.: 2.34

a = 4.2267 Å, b = 4.2265 Å, c = 5.3982 Å
α = 89.95°, β = 90.00°, γ = 90.00°
Last column: nearest neighbours and their distance in Å.
Sites, in units of the cell vectors:
P1 0.5000 0.8749 0.8690  4 Pt 2.33
Pt1 0.5000 0.3747 0.0497  2 P 2.33
Ba1 0.0000 0.3752 0.5316  8 Pt 3.35-3.51, 4 P 3.50
Pt2 0.0000 0.8752 0.0496  2 P 2.33

=====

Entry 7:
BaPPt2: relaxed, PBE.

Output
ΔE_f, kJ/mol of formula units: -121.3
D(E_F), states/eV/f.u.: 3.30

a = 5.5806 Å, b = 5.5806 Å, c = 5.5806 Å
α = 140.88°, β = 113.53°, γ = 79.92°
Last column: nearest neighbours and their distance in Å.
Sites, in units of the cell vectors:
Ba1 0.2500 0.7500 0.5000  8 Pt 3.37-3.42, 4 P 3.58, 2 Ba 3.74
P1 0.7500 0.2500 0.5000  4 Pt 2.34
Pt1 0.9153 0.9153 0.0000  2 P 2.34
Pt2 0.5847 0.5847 0.0000  2 P 2.34

=====

Entry 8:
BaPPt: relaxed, PBE.

Output
ΔE_f, kJ/mol of formula units: -84.4
D(E_F), states/eV/f.u.: 3.90

a = 5.4758 Å, b = 5.4758 Å, c = 5.4758 Å
α = 133.18°, β = 129.59°, γ = 71.24°
Last column: nearest neighbours and their distance in Å.
Sites, in units of the cell vectors:
Pt1 0.6156 0.6156 0.0000  1 P 2.19
Ba1 0.0152 0.0152 0.0000  5 P 3.15-3.44, 4 Pt 3.31
P1 0.3692 0.3692 0.0000  1 Pt 2.19

=====

Entry 9:
Ba2PPt: relaxed, PBE.

Output
ΔE_f, kJ/mol of formula units: -243.3
D(E_F), states/eV/f.u.: 2.17

a = 5.4582 Å, b = 9.0255 Å, c = 3.9738 Å
α = 63.89°, β = 89.99°, γ = 131.80°
Last column: nearest neighbours and their distance in Å.
Sites, in units of the cell vectors:
P1 0.5000 0.5000 0.0000  8 Ba 3.38, 2 Pt 3.66
Ba1 0.0000 0.5000 0.5000  4 Pt 3.38, 4 P 3.38, 2 Ba 3.66
Ba2 0.0000 0.0000 0.0000  4 P 3.38, 4 Pt 3.38, 2 Ba 3.66
Pt1 0.5000 0.0000 0.5000  8 Ba 3.38, 2 P 3.66

=====

Entry 10:
BaP2Pt: relaxed, PBE.

Output
ΔE_f, kJ/mol of formula units: 90.0
D(E_F), states/eV/f.u.: 2.77

a = 7.9608 Å, b = 5.1399 Å, c = 3.2335 Å
α = 90.20°, β = 65.75°, γ = 130.18°
Last column: nearest neighbours and their distance in Å.
Sites, in units of the cell vectors:
Ba1 0.5000 0.5000 0.0000  8 P 3.03-3.04, 2 Ba 3.23
P1 0.0000 0.0000 0.0000  4 Pt 3.03-3.04, 4 Ba 3.03-3.04, 2 P 3.23
P2 0.5000 0.0000 0.5000  4 Ba 3.03-3.04, 4 Pt 3.03-3.04, 2 P 3.23
Pt1 0.0000 0.5000 0.5000  8 P 3.03-3.04, 2 Pt 3.23

=====

Entry 11:
BaP3Pt6: relaxed, PBE.

Output
ΔE_f, kJ/mol of formula units: -484.2
D(E_F), states/eV/f.u.: 3.39

a = 6.4583 Å, b = 6.4450 Å, c = 6.4171 Å
α = 90.08°, β = 120.42°, γ = 119.80°
Last column: nearest neighbours and their distance in Å.
Sites, in units of the cell vectors:
P1 0.2741 0.6380 0.9135  6 Pt 2.33-2.47
Pt1 0.3556 0.9470 0.7176  3 P 2.34-2.53
Pt2 0.7578 0.0369 0.2331  3 P 2.35-2.54
P2 0.2443 0.1208 0.3673  6 Pt 2.45-2.58
Pt3 0.7683 0.4089 0.7159  3 P 2.34-2.55
Pt4 0.1942 0.7171 0.2331  3 P 2.35-2.55
Ba1 0.8532 0.9282 0.7777  1 P 3.07, 12 Pt 3.10-3.42
Pt5 0.5171 0.4779 0.2340  3 P 2.34-2.58
P3 0.7263 0.3622 0.0900  6 Pt 2.34-2.55
Pt6 0.3090 0.3630 0.7176  3 P 2.33-2.54

=====

Entry 12:
Ba4PPt: relaxed, PBE.

Output
ΔE_f, kJ/mol of formula units: 287.2
Excess energy over the best structure of this formula in the dataset, eV/atom: 1.195
D(E_F), states/eV/f.u.: 4.48

a = 6.7707 Å, b = 6.7707 Å, c = 6.7707 Å
α = 60.00°, β = 60.00°, γ = 60.00°
Last column: nearest neighbours and their distance in Å.
Sites, in units of the cell vectors:
Ba1 0.3751 0.3751 0.8746  6 Ba 3.38-3.39
Pt1 0.0000 0.0000 0.0000  12 Ba 3.97, 4 P 4.15
P1 0.7500 0.7500 0.7500  12 Ba 3.97, 4 Pt 4.15
Ba2 0.3751 0.8746 0.3751  6 Ba 3.38-3.39
Ba3 0.3751 0.3751 0.3751  6 Ba 3.38-3.39
Ba4 0.8746 0.3751 0.3751  6 Ba 3.38-3.39

=====

Entry 13:
Ba2PPt: relaxed, PBE.

Output
ΔE_f, kJ/mol of formula units: -312.3
D(E_F), states/eV/f.u.: 2.32

a = 8.8122 Å, b = 8.8122 Å, c = 8.8122 Å
α = 151.08°, β = 150.63°, γ = 41.69°
Last column: nearest neighbours and their distance in Å.
Sites, in units of the cell vectors:
Ba1 0.9868 0.9868 0.0000  2 Pt 3.18, 4 P 3.44
P1 0.4007 0.4007 0.0000  2 Pt 2.36
Pt1 0.3492 0.8492 0.5000  2 P 2.36
Ba2 0.7632 0.2632 0.5000  2 P 3.18, 4 Pt 3.44

=====

Entry 14:
BaPPt: relaxed, PBE.

Output
ΔE_f, kJ/mol of formula units: -134.8
D(E_F), states/eV/f.u.: 1.61

a = 6.1887 Å, b = 6.1897 Å, c = 3.5280 Å
α = 73.42°, β = 73.46°, γ = 33.12°
Last column: nearest neighbours and their distance in Å.
Sites, in units of the cell vectors:
Pt1 0.7232 0.7232 0.2768  4 P 2.56
Ba1 0.0021 0.0021 0.9979  1 P 3.09, 1 Pt 3.16
P1 0.2748 0.2748 0.7252  4 Pt 2.56

=====

Entry 15:
Ba8PPt2: relaxed, PBE.

Output
ΔE_f, kJ/mol of formula units: -373.2
D(E_F), states/eV/f.u.: 11.86

a = 6.7706 Å, b = 10.0390 Å, c = 10.0287 Å
α = 120.04°, β = 89.99°, γ = 90.00°
Last column: nearest neighbours and their distance in Å.
Sites, in units of the cell vectors:
Ba1 0.2395 0.1593 0.8420  1 Pt 3.04, 1 P 3.20
Ba2 0.7305 0.3334 0.6669  2 Pt 3.22-3.55
Ba3 0.7605 0.3174 0.1598  1 Pt 3.04, 1 P 3.20
Ba4 0.2397 0.1579 0.3175  1 Pt 3.04, 1 P 3.20
Pt1 0.2059 0.3335 0.6670  4 Ba 3.04-3.22
Ba5 0.2395 0.6826 0.8402  1 Pt 3.04, 1 P 3.20
P1 0.0000 0.0000 0.0000  6 Ba 3.20
Ba6 0.7603 0.8421 0.6825  1 Pt 3.04, 1 P 3.20
Ba7 0.7605 0.8407 0.1580  1 Pt 3.04, 1 P 3.20
Pt2 0.7941 0.6665 0.3330  4 Ba 3.04-3.22
Ba8 0.2695 0.6666 0.3330  2 Pt 3.22-3.55

=====

Entry 16:
Ba2PPt: relaxed, PBE.

Output
ΔE_f, kJ/mol of formula units: -233.5
D(E_F), states/eV/f.u.: 2.07

a = 8.2733 Å, b = 8.2733 Å, c = 8.2733 Å
α = 31.84°, β = 31.84°, γ = 31.84°
Last column: nearest neighbours and their distance in Å.
Sites, in units of the cell vectors:
Ba1 0.0027 0.0027 0.0027  3 Pt 3.24, 3 P 3.31
Ba2 0.4973 0.4973 0.4973  3 Pt 3.24, 3 P 3.31
Pt1 0.7500 0.7500 0.7500  6 Ba 3.24
P1 0.2500 0.2500 0.2500  6 Ba 3.31

=====

Entry 17:
Ba4PPt: relaxed, PBE.

Output
ΔE_f, kJ/mol of formula units: -404.5
Excess energy over the best structure of this formula in the dataset, eV/atom: 0.000
D(E_F), states/eV/f.u.: 4.26

a = 4.6488 Å, b = 7.7927 Å, c = 8.0942 Å
α = 89.42°, β = 90.00°, γ = 90.00°
Last column: nearest neighbours and their distance in Å.
Sites, in units of the cell vectors:
Ba1 0.0000 0.2193 0.3261  1 P 3.16, 2 Pt 3.20
Ba2 0.5000 0.2165 0.8266  1 Pt 3.15, 2 P 3.19
P1 0.0000 0.0000 0.0000  6 Ba 3.16-3.19
Ba3 0.5000 0.7835 0.1734  1 Pt 3.15, 2 P 3.19
Ba4 0.0000 0.7807 0.6739  1 P 3.16, 2 Pt 3.20
Pt1 0.5000 0.0000 0.5000  6 Ba 3.15-3.20

=====

Entry 18:
BaPPt2: relaxed, PBE.

Output
ΔE_f, kJ/mol of formula units: 44.5
D(E_F), states/eV/f.u.: 2.29

a = 5.4291 Å, b = 5.4291 Å, c = 5.4291 Å
α = 132.48°, β = 132.48°, γ = 69.48°
Last column: nearest neighbours and their distance in Å.
Sites, in units of the cell vectors:
Ba1 0.5000 0.5000 0.0000  8 Pt 3.09-3.12, 4 P 3.12
Pt1 0.0000 0.0000 0.0000  4 Ba 3.09, 4 Pt 3.12, 4 P 3.12
P1 0.7500 0.2500 0.5000  8 Pt 3.09-3.12, 4 Ba 3.12
Pt2 0.2500 0.7500 0.5000  4 P 3.09, 4 Ba 3.12, 4 Pt 3.12

=====

Entry 19:
BaPPt2: relaxed, PBE.

Output
ΔE_f, kJ/mol of formula units: 40.5
D(E_F), states/eV/f.u.: 3.57

a = 4.4099 Å, b = 4.4125 Å, c = 4.3846 Å
α = 90.00°, β = 90.00°, γ = 90.00°
Last column: nearest neighbours and their distance in Å.
Sites, in units of the cell vectors:
Pt1 0.0000 0.0000 0.0000  4 Ba 3.11, 4 P 3.11, 4 Pt 3.12
Ba1 0.5000 0.0000 0.5000  8 Pt 3.11, 4 P 3.12
Pt2 0.5000 0.5000 0.0000  4 P 3.11, 4 Ba 3.11, 4 Pt 3.12
P1 0.0000 0.5000 0.5000  8 Pt 3.11, 4 Ba 3.12

=====

Entry 20:
Ba2PPt2: relaxed, PBE.

Output
ΔE_f, kJ/mol of formula units: -234.9
D(E_F), states/eV/f.u.: 3.91

a = 7.4300 Å, b = 7.4300 Å, c = 4.7031 Å
α = 90.00°, β = 90.00°, γ = 90.00°
Last column: nearest neighbours and their distance in Å.
Sites, in units of the cell vectors:
P1 0.0000 0.0000 0.0000  4 Pt 2.92
Pt1 0.6285 0.1285 0.0000  1 Pt 2.70, 2 P 2.92
Pt2 0.1285 0.3715 0.0000  1 Pt 2.70, 2 P 2.92
P2 0.5000 0.5000 0.0000  4 Pt 2.92
Ba1 0.1835 0.6835 0.5000  6 Pt 3.07-3.33
Ba2 0.3165 0.1835 0.5000  6 Pt 3.07-3.33
Pt3 0.3715 0.8715 0.0000  1 Pt 2.70, 2 P 2.92
Pt4 0.8715 0.6285 0.0000  1 Pt 2.70, 2 P 2.92
Ba3 0.8165 0.3165 0.5000  6 Pt 3.07-3.33
Ba4 0.6835 0.8165 0.5000  6 Pt 3.07-3.33

=====

Entry 21:
BaP2Pt: relaxed, PBE.

Output
ΔE_f, kJ/mol of formula units: -255.8

a = 4.3111 Å, b = 4.5003 Å, c = 5.1759 Å
α = 85.98°, β = 90.00°, γ = 90.00°
Last column: nearest neighbours and their distance in Å.
Sites, in units of the cell vectors:
Ba1 0.5000 0.7300 0.7544  5 P 3.16-3.48, 2 Pt 3.47
P1 0.5000 0.2545 0.3145  2 Pt 2.44, 2 P 2.59
P2 0.0000 0.0079 0.1511  2 Pt 2.30-2.39
Pt1 0.0000 0.5075 0.2800  4 P 2.30-2.44

=====

Entry 22:
Ba2PPt: relaxed, PBE.

Output
ΔE_f, kJ/mol of formula units: -326.9
D(E_F), states/eV/f.u.: 3.29

a = 6.0078 Å, b = 6.0078 Å, c = 4.5040 Å
α = 89.99°, β = 89.99°, γ = 48.30°
Last column: nearest neighbours and their distance in Å.
Sites, in units of the cell vectors:
Ba1 0.0221 0.0221 0.1251  3 Pt 3.21-3.41, 4 P 3.53
Ba2 0.7274 0.7274 0.6252  3 P 3.22-3.40, 4 Pt 3.53
P1 0.4171 0.4171 0.6249  2 Pt 2.43
Pt1 0.3334 0.3334 0.1248  2 P 2.43

=====

Entry 23:
Ba2PPt: relaxed, PBE.

Output
ΔE_f, kJ/mol of formula units: -178.5
D(E_F), states/eV/f.u.: 3.65

a = 6.5302 Å, b = 6.5302 Å, c = 6.5302 Å
α = 139.15°, β = 139.15°, γ = 59.14°
Last column: nearest neighbours and their distance in Å.
Sites, in units of the cell vectors:
Ba1 0.2500 0.7500 0.5000  4 Pt 3.22
P1 0.5000 0.5000 0.0000  4 Ba 3.22
Ba2 0.0000 0.0000 0.0000  4 P 3.22
Pt1 0.7500 0.2500 0.5000  4 Ba 3.22

=====

Entry 24:
BaPPt3: relaxed, PBE.

Output
ΔE_f, kJ/mol of formula units: -338.5
Excess energy over the best structure of this formula in the dataset, eV/atom: 0.000
D(E_F), states/eV/f.u.: 3.09

a = 6.1705 Å, b = 6.2022 Å, c = 6.1704 Å
α = 90.01°, β = 57.59°, γ = 90.02°
Last column: nearest neighbours and their distance in Å.
Sites, in units of the cell vectors:
Pt1 0.2094 0.6365 0.6125  2 P 2.42
Pt2 0.1411 0.8865 0.0448  1 P 2.33
P1 0.3561 0.8865 0.2598  5 Pt 2.33-2.42
Ba1 0.7078 0.8865 0.6115  4 Pt 3.06-3.19, 2 P 3.38
Pt3 0.2094 0.1366 0.6126  2 P 2.42
Pt4 0.7089 0.6365 0.1132  2 P 2.42
Ba2 0.2105 0.3865 0.1141  4 Pt 3.06-3.19, 2 P 3.38
P2 0.5622 0.3865 0.4658  5 Pt 2.33-2.42
Pt5 0.7772 0.3865 0.6808  1 P 2.33
Pt6 0.7089 0.1364 0.1130  2 P 2.42

=====

Entry 25:
BaP2Pt: relaxed, PBE.

Output
ΔE_f, kJ/mol of formula units: -89.7
D(E_F), states/eV/f.u.: 3.32

a = 5.3508 Å, b = 5.3508 Å, c = 5.3508 Å
α = 134.02°, β = 106.65°, γ = 91.06°
Last column: nearest neighbours and their distance in Å.
Sites, in units of the cell vectors:
Ba1 0.2424 0.7424 0.5000  4 P 3.25-3.44, 4 Pt 3.36-3.38
P1 0.7532 0.2532 0.5000  2 P 2.40, 2 Pt 2.41
Pt1 0.5938 0.5938 0.0000  3 P 2.37-2.41
P2 0.9105 0.9105 0.0000  1 Pt 2.37, 2 P 2.40

=====

Entry 26:
BaP2Pt: relaxed, PBE.

Output
ΔE_f, kJ/mol of formula units: 90.6
D(E_F), states/eV/f.u.: 3.23

a = 5.5416 Å, b = 5.5416 Å, c = 5.5416 Å
α = 133.50°, β = 133.50°, γ = 67.87°
Last column: nearest neighbours and their distance in Å.
Sites, in units of the cell vectors:
Pt1 0.5000 0.5000 0.0000  8 P 3.09-3.17, 4 Ba 3.17
P1 0.0000 0.0000 0.0000  4 Pt 3.09, 4 Ba 3.17, 4 P 3.17
Ba1 0.7500 0.2500 0.5000  8 P 3.09-3.17, 4 Pt 3.17
P2 0.2500 0.7500 0.5000  4 Ba 3.09, 4 Pt 3.17, 4 P 3.17

=====

Entry 27:
BaPPt: relaxed, PBE.

Output
ΔE_f, kJ/mol of formula units: 145.6
D(E_F), states/eV/f.u.: 3.55

a = 5.0961 Å, b = 5.0961 Å, c = 5.0961 Å
α = 60.00°, β = 60.00°, γ = 60.00°
Last column: nearest neighbours and their distance in Å.
Sites, in units of the cell vectors:
Ba1 0.7500 0.7500 0.7500  4 Pt 3.12, 4 P 3.12
P1 0.0000 0.0000 0.0000  4 Ba 3.12
Pt1 0.5000 0.5000 0.5000  4 Ba 3.12

=====

Entry 28:
BaPPt2: relaxed, PBE.

Output
ΔE_f, kJ/mol of formula units: 61.9
D(E_F), states/eV/f.u.: 3.46

a = 5.4984 Å, b = 5.4984 Å, c = 5.4984 Å
α = 133.76°, β = 133.76°, γ = 67.47°
Last column: nearest neighbours and their distance in Å.
Sites, in units of the cell vectors:
Pt1 0.5000 0.5000 0.0000  4 Pt 3.05, 4 Ba 3.14, 4 P 3.14
Ba1 0.2500 0.7500 0.5000  4 P 3.05, 8 Pt 3.14
Pt2 0.0000 0.0000 0.0000  4 Pt 3.05, 4 P 3.14, 4 Ba 3.14
P1 0.7500 0.2500 0.5000  4 Ba 3.05, 8 Pt 3.14

=====

no.,M_tot (μB/cell)
1,0.00
2,0.00
3,0.00
4,0.00
5,0.00
6,0.00
7,0.00
8,0.00
9,0.00
10,0.00
11,0.00
12,0.00
13,0.85
14,0.00
15,0.05
16,1.02
17,0.00
18,0.00
19,0.00
20,0.00
21,0.00
22,0.00
23,0.00
24,0.00
25,0.00
26,0.00
27,0.00
28,0.00